# 1
# GGA-PBE Li2ScSnS, optimized geometry
# E: -4.508 eV/atom
# calculated volume: 20.343 Å³/atom
data_Li2ScSnS
_space_group_name_H-M_alt 'P 4/m m m'
_space_group_IT_number 123
_space_group_name_Hall '-P 4 2'
_cell_length_a 4.507
_cell_length_b 4.507
_cell_length_c 5.008
_cell_angle_alpha 90.00
_cell_angle_beta 90.00
_cell_angle_gamma 90.00
loop_
_atom_site_label
_atom_site_type_symbol
_atom_site_fract_x
_atom_site_fract_y
_atom_site_fract_z
Li1 Li 0.000 0.500 0.000
Sc1 Sc 0.000 0.000 0.500
Sn1 Sn 0.500 0.500 0.500
S1 S 0.000 0.000 0.000

# 2
# GGA-PBE MoHRh2, optimized geometry
# E: -6.752 eV/atom
# calculated volume: 12.977 Å³/atom
data_MoHRh2
_space_group_name_H-M_alt 'F m -3 m'
_space_group_IT_number 225
_space_group_name_Hall '-F 4 2 3'
_cell_length_a 5.922
_cell_length_b 5.922
_cell_length_c 5.922
_cell_angle_alpha 90.00
_cell_angle_beta 90.00
_cell_angle_gamma 90.00
loop_
_atom_site_label
_atom_site_type_symbol
_atom_site_fract_x
_atom_site_fract_y
_atom_site_fract_z
Mo1 Mo 0.000 0.000 0.000
H1 H 0.000 0.000 0.500
Rh1 Rh 0.250 0.250 0.250

# 3
# GGA-PBE RbTaCr3, optimized geometry
# formation energy: 1.55 eV per atom
# calculated volume: 25.647 Å³/atom
data_RbTaCr3
_space_group_name_H-M_alt 'P m -3 m'
_space_group_IT_number 221
_space_group_name_Hall '-P 4 2 3'
_cell_length_a 5.043
_cell_length_b 5.043
_cell_length_c 5.043
_cell_angle_alpha 90.00
_cell_angle_beta 90.00
_cell_angle_gamma 90.00
loop_
_atom_site_label
_atom_site_type_symbol
_atom_site_fract_x
_atom_site_fract_y
_atom_site_fract_z
Rb1 Rb 0.000 0.000 0.000
Ta1 Ta 0.500 0.500 0.500
Cr1 Cr 0.000 0.500 0.500

# 4
# GGA-PBE CaLa2Tc, optimized geometry
# formation energy: 0.07 eV per atom
# calculated volume: 32.463 Å³/atom
data_CaLa2Tc
_space_group_name_H-M_alt 'C m m m'
_space_group_IT_number 65
_space_group_name_Hall '-C 2 2'
_cell_length_a 4.516
_cell_length_b 5.627
_cell_length_c 10.218
_cell_angle_alpha 90.00
_cell_angle_beta 90.00
_cell_angle_gamma 90.00
loop_
_atom_site_label
_atom_site_type_symbol
_atom_site_fract_x
_atom_site_fract_y
_atom_site_fract_z
Ca1 Ca 0.000 0.000 0.000
La1 La 0.000 0.500 0.328
Tc1 Tc 0.000 0.000 0.500

# 5
# GGA-PBE LiInAg4, optimized geometry
# formation energy: -0.03 eV per atom
# calculated volume: 20.173 Å³/atom
data_LiInAg4
_space_group_name_H-M_alt 'F -4 3 m'
_space_group_IT_number 216
_space_group_name_Hall 'F -4 2 3'
_cell_length_a 7.852
_cell_length_b 7.852
_cell_length_c 7.852
_cell_angle_alpha 90.00
_cell_angle_beta 90.00
_cell_angle_gamma 90.00
loop_
_atom_site_label
_atom_site_type_symbol
_atom_site_fract_x
_atom_site_fract_y
_atom_site_fract_z
Li1 Li 0.000 0.000 0.000
In1 In 0.250 0.250 0.250
Ag1 Ag 0.125 0.125 0.625

# 6
# GGA-PBE KZrMo2, optimized geometry
# formation energy: 0.78 eV per atom
# calculated volume: 26.773 Å³/atom
data_KZrMo2
_space_group_name_H-M_alt 'P 4/m m m'
_space_group_IT_number 123
_space_group_name_Hall '-P 4 2'
_cell_length_a 3.706
_cell_length_b 3.706
_cell_length_c 7.796
_cell_angle_alpha 90.00
_cell_angle_beta 90.00
_cell_angle_gamma 90.00
loop_
_atom_site_label
_atom_site_type_symbol
_atom_site_fract_x
_atom_site_fract_y
_atom_site_fract_z
K1 K 0.000 0.000 0.000
Zr1 Zr 0.000 0.000 0.500
Mo1 Mo 0.500 0.500 0.354

# 7
# GGA-PBE Ca2MgMoH, optimized geometry
# E: -3.331 eV/atom
# calculated volume: 24.081 Å³/atom
data_Ca2MgMoH
_space_group_name_H-M_alt 'P 4/m m m'
_space_group_IT_number 123
_space_group_name_Hall '-P 4 2'
_cell_length_a 5.878
_cell_length_b 5.878
_cell_length_c 3.485
_cell_angle_alpha 90.00
_cell_angle_beta 90.00
_cell_angle_gamma 90.00
loop_
_atom_site_label
_atom_site_type_symbol
_atom_site_fract_x
_atom_site_fract_y
_atom_site_fract_z
Ca1 Ca 0.000 0.500 0.000
Mg1 Mg 0.000 0.000 0.500
Mo1 Mo 0.500 0.500 0.000
H1 H 0.500 0.500 0.500

# 8
# GGA-PBE TeCI2F, optimized geometry
# E: -2.585 eV/atom
# calculated volume: 23.645 Å³/atom
data_TeCI2F
_space_group_name_H-M_alt 'P 4/m m m'
_space_group_IT_number 123
_space_group_name_Hall '-P 4 2'
_cell_length_a 5.085
_cell_length_b 5.085
_cell_length_c 4.572
_cell_angle_alpha 90.00
_cell_angle_beta 90.00
_cell_angle_gamma 90.00
loop_
_atom_site_label
_atom_site_type_symbol
_atom_site_fract_x
_atom_site_fract_y
_atom_site_fract_z
Te1 Te 0.000 0.000 0.000
C1 C 0.000 0.000 0.500
I1 I 0.000 0.500 0.500
F1 F 0.500 0.500 0.000

# 9
# GGA-PBE MnPb2Br, optimized geometry
# E: -4.537 eV/atom
# calculated volume: 29.411 Å³/atom
data_MnPb2Br
_space_group_name_H-M_alt 'I m m 2'
_space_group_IT_number 44
_space_group_name_Hall 'I 2 -2'
_cell_length_a 3.402
_cell_length_b 4.437
_cell_length_c 15.586
_cell_angle_alpha 90.00
_cell_angle_beta 90.00
_cell_angle_gamma 90.00
loop_
_atom_site_label
_atom_site_type_symbol
_atom_site_fract_x
_atom_site_fract_y
_atom_site_fract_z
Mn1 Mn 0.000 0.000 0.000
Pb1 Pb 0.000 0.000 0.565
Pb2 Pb 0.000 0.500 0.709
Br1 Br 0.000 0.500 0.373

# 10
# GGA-PBE Li3La, optimized geometry
# formation energy: 0.13 eV per atom
# calculated volume: 25.483 Å³/atom
data_Li3La
_space_group_name_H-M_alt 'P 1 2/m 1'
_space_group_IT_number 10
_space_group_name_Hall '-P 2y'
_cell_length_a 3.246
_cell_length_b 5.331
_cell_length_c 5.928
_cell_angle_alpha 90.00
_cell_angle_beta 96.52
_cell_angle_gamma 90.00
loop_
_atom_site_label
_atom_site_type_symbol
_atom_site_fract_x
_atom_site_fract_y
_atom_site_fract_z
Li1 Li 0.000 0.000 0.000
Li2 Li 0.163 0.500 0.781
La1 La 0.500 0.000 0.500

# 11
# GGA-PBE CsPu2F11, optimized geometry
# E: -6.736 eV/atom
# calculated volume: 23.687 Å³/atom
data_CsPu2F11
_space_group_name_H-M_alt 'I b a m'
_space_group_IT_number 72
_space_group_name_Hall '-I 2 2c'
_cell_length_a 10.133
_cell_length_b 10.370
_cell_length_c 12.623
_cell_angle_alpha 90.00
_cell_angle_beta 90.00
_cell_angle_gamma 90.00
loop_
_atom_site_label
_atom_site_type_symbol
_atom_site_fract_x
_atom_site_fract_y
_atom_site_fract_z
Cs1 Cs 0.000 0.000 0.250
Pu1 Pu 0.150 0.341 0.000
F1 F 0.000 0.500 0.000
F2 F 0.047 0.245 0.115
F3 F 0.215 0.306 0.500
F4 F 0.244 0.067 0.385

- Among the records above, which one has the highest calculated volume?
  CaLa2Tc

- Which formula does entry 10 have?
  Li3La

- Which formula does entry 3 have?
  RbTaCr3